CePuTc2 after structural relaxation, computed with PBE.

Cell lengths 3.3768, 3.3768, 6.9739 Å; angles 90.00, 90.00, 90.00 degrees
Last column: nearest neighbours and their distance in Å.
Fractional coordinates of all 4 atoms:
1 Ce 0.0000 0.0000 0.0000  8 Tc 3.05, 4 Ce 3.38
2 Pu 0.0000 0.0000 0.5000  8 Tc 2.87
3 Tc 0.5000 0.5000 0.2717  4 Pu 2.87, 4 Ce 3.05, 1 Tc 3.18
4 Tc 0.5000 0.5000 0.7283  4 Pu 2.87, 4 Ce 3.05, 1 Tc 3.18

* DFT total energy: -10.18 eV per atom
* distance to the lowest polymorph of the same formula: 13.5 meV/atom
* density of states at the Fermi level: 1.950 states/eV/atom